BaCdO2 | PBE | relaxed

Calculated values
**SG**: P4/nmm
**Formation energy (no corrections)**: -166.1 kJ per mole of atoms

Cell lengths 4.2486, 4.2486, 8.2773 Å; angles 89.99, 89.99, 90.00 degrees
Atoms (fractional coordinates):
1 Ba 0.2498 0.2498 0.8284
2 Ba 0.7502 0.7502 0.1716
3 Cd 0.2500 0.2500 0.4026
4 Cd 0.7500 0.7500 0.5974
5 O 0.7505 0.7505 0.8676
6 O 0.7499 0.2501 0.5000
7 O 0.2495 0.2495 0.1324
8 O 0.2501 0.7499 0.5000